Entry from Alexandria: a geometry-optimized ZrAlCrTc structure (GGA-PBE).

Output
* uncorrected energy: -8.261 eV/atom
* total moment: 8.3 Bohr magnetons per cell
* energy of formation: -190.7 meV per atom

The structure in POSCAR format:
```
ZrAlCrTc
1.0
6.352 0.000 0.000
0.000 6.352 0.000
0.000 0.000 6.352
Zr Al Cr Tc
4 4 4 4
Direct
0.000 0.000 0.000 Zr
0.000 0.500 0.500 Zr
0.500 0.000 0.500 Zr
0.500 0.500 0.000 Zr
0.000 0.000 0.500 Al
0.000 0.500 0.000 Al
0.500 0.000 0.000 Al
0.500 0.500 0.500 Al
0.250 0.250 0.750 Cr
0.250 0.750 0.250 Cr
0.750 0.250 0.250 Cr
0.750 0.750 0.750 Cr
0.250 0.250 0.250 Tc
0.250 0.750 0.750 Tc
0.750 0.250 0.750 Tc
0.750 0.750 0.250 Tc
```